[1]
Material: La2RuW
Method: DFT, PBE-GGA
State: optimized geometry

Unit cell a=5.202 b=5.202 c=5.646 alpha=94.95 beta=94.95 gamma=34.83
Atoms (fractional coordinates):
Ru: 0.750 0.750 0.750
W: 0.250 0.250 0.250
La: 0.512 0.512 0.512
La: 0.988 0.988 0.988

Computed properties:
energy of formation	0.7029	eV/atom
symmetry	C2/m, No. 12


[2]
Material: LaRu3W
Method: DFT, PBE-GGA
State: optimized geometry

Unit cell a=4.748 b=4.748 c=4.748 alpha=90.00 beta=90.00 gamma=90.00
Atoms (fractional coordinates):
La: 0.500 0.500 0.500
Ru: 0.500 0.000 0.000
Ru: 0.000 0.000 0.500
Ru: 0.000 0.500 0.000
W: 0.000 0.000 0.000

Computed properties:
energy of formation	0.6136	eV/atom
energy above the most stable polymorph in this dataset	0	meV per atom
symmetry	Pm-3m, No. 221


[3]
Material: LaRuW2
Method: DFT, PBE-GGA
State: optimized geometry

Unit cell a=5.191 b=3.847 c=3.847 alpha=90.00 beta=90.00 gamma=90.00
Atoms (fractional coordinates):
La: 0.500 0.500 0.000
W: 0.000 0.500 0.500
W: 0.000 0.000 0.000
Ru: 0.500 0.000 0.500

Computed properties:
energy of formation	0.7177	eV/atom
energy above the most stable polymorph in this dataset	386	meV per atom
symmetry	P4/mmm, No. 123


[4]
Material: La2RuW
Method: DFT, PBE-GGA
State: optimized geometry

Unit cell a=4.719 b=3.176 c=5.816 alpha=83.52 beta=90.00 gamma=90.00
Atoms (fractional coordinates):
Ru: 0.500 0.250 0.250
W: 0.500 0.750 0.750
La: 0.000 0.017 0.006
La: 0.000 0.483 0.494

Computed properties:
energy of formation	0.6042	eV/atom
symmetry	P2/m, No. 10


[5]
Material: LaRuW2
Method: DFT, PBE-GGA
State: optimized geometry

Unit cell a=4.699 b=4.699 c=4.699 alpha=60.00 beta=60.00 gamma=60.00
Atoms (fractional coordinates):
W: 0.750 0.750 0.750
W: 0.000 0.000 0.000
La: 0.500 0.500 0.500
Ru: 0.250 0.250 0.250

Computed properties:
energy of formation	0.5111	eV/atom
energy above the most stable polymorph in this dataset	179	meV per atom
symmetry	F-43m, No. 216


[6]
Material: LaRu4W
Method: DFT, PBE-GGA
State: optimized geometry

Unit cell a=5.261 b=5.261 c=5.261 alpha=60.00 beta=60.00 gamma=60.00
Atoms (fractional coordinates):
Ru: 0.874 0.375 0.375
Ru: 0.375 0.375 0.874
Ru: 0.375 0.375 0.375
Ru: 0.375 0.874 0.375
W: 0.750 0.750 0.750
La: 0.000 0.000 0.000

Computed properties:
energy of formation	0.3489	eV/atom
symmetry	F-43m, No. 216


[7]
Material: La2RuW
Method: DFT, PBE-GGA
State: optimized geometry

Unit cell a=5.942 b=5.942 c=5.942 alpha=138.85 beta=138.85 gamma=59.60
Atoms (fractional coordinates):
Ru: 0.500 0.500 0.000
La: 0.000 0.000 0.000
La: 0.250 0.750 0.500
W: 0.750 0.250 0.500

Computed properties:
energy of formation	0.6232	eV/atom
symmetry	I-4m2, No. 119


[8]
Material: LaRuW
Method: DFT, PBE-GGA
State: optimized geometry

Unit cell a=2.964 b=2.964 c=7.638 alpha=90.00 beta=90.00 gamma=120.00
Atoms (fractional coordinates):
W: 0.333 0.667 0.626
Ru: 0.667 0.333 0.368
La: 0.000 0.000 0.006

Computed properties:
energy of formation	0.5705	eV/atom
energy above the most stable polymorph in this dataset	385	meV per atom
symmetry	P3m1, No. 156


[9]
Material: La2RuW
Method: DFT, PBE-GGA
State: optimized geometry

Unit cell a=3.226 b=3.226 c=8.983 alpha=90.00 beta=90.00 gamma=107.11
Atoms (fractional coordinates):
W: 0.500 0.500 0.750
La: 0.000 0.000 0.480
La: 0.000 0.000 0.020
Ru: 0.500 0.500 0.250

Computed properties:
energy of formation	0.5505	eV/atom
symmetry	Cmmm, No. 65


[10]
Material: La2RuW
Method: DFT, PBE-GGA
State: optimized geometry

Unit cell a=5.136 b=5.136 c=3.547 alpha=90.00 beta=90.00 gamma=90.01
Each line ends with the local moment (μB).
Atoms (fractional coordinates):
Ru: 0.500 0.000 0.500  0.07
La: 0.000 0.000 0.000  0.06
La: 0.500 0.500 0.000  0.06
W: 0.000 0.500 0.500  1.11

Computed properties:
energy of formation	0.5695	eV/atom
symmetry	P4/mmm, No. 123


[11]
Material: LaRuW2
Method: DFT, PBE-GGA
State: optimized geometry

Unit cell a=2.893 b=2.893 c=8.939 alpha=90.00 beta=90.00 gamma=90.00
Atoms (fractional coordinates):
W: 0.000 0.000 0.950
W: 0.000 0.000 0.550
La: 0.500 0.500 0.250
Ru: 0.500 0.500 0.750

Computed properties:
energy of formation	0.5045	eV/atom
energy above the most stable polymorph in this dataset	173	meV per atom
symmetry	P4/mmm, No. 123


[12]
Material: LaRuW2
Method: DFT, PBE-GGA
State: optimized geometry

Unit cell a=5.822 b=5.822 c=5.822 alpha=149.38 beta=130.92 gamma=58.97
Atoms (fractional coordinates):
W: 0.520 0.520 0.000
W: 0.980 0.980 0.000
La: 0.250 0.750 0.500
Ru: 0.750 0.250 0.500

Computed properties:
energy of formation	0.5550	eV/atom
energy above the most stable polymorph in this dataset	223	meV per atom
symmetry	Immm, No. 71


Q: Which value of energy of formation does entry 4 give?
A: 0.6042 eV/atom